[1]
Entry from Alexandria: MgCd2As after structural relaxation (GGA-PBE).

The raw total energy is -2.086 eV per atom.

The space group is Pmm2 (No. 25) and the conventional cell measures 3.142, 4.131 and 6.780 Å, with angles of 90.00, 90.00 and 90.00 degrees. The inequivalent atoms are Mg at (0.000, 0.000, 0.000), Cd at (0.000, 0.000, 0.481), Cd at (0.500, 0.500, 0.712) and As at (0.500, 0.500, 0.154).

=====

[2]
Entry from Alexandria: Mg3CdAs after structural relaxation (GGA-PBE).

The raw total energy is -2.074 eV per atom. For the offset from the most stable computed form, the calculation gives 0.000 eV/atom.

The space group is Pm-3m (No. 221) and the conventional cell measures 5.063, 5.063 and 5.063 Å, with angles of 90.00, 90.00 and 90.00 degrees. The inequivalent atoms are Mg at (0.000, 0.000, 0.500), Cd at (0.500, 0.500, 0.500) and As at (0.000, 0.000, 0.000).

=====

[3]
Entry from Alexandria: MgCd2As after structural relaxation (GGA-PBE).

The raw total energy is -1.956 eV per atom.

The space group is R-3m (No. 166, hexagonal axes) and the conventional cell measures 3.3238, 3.3238 and 27.7571 Å, with angles of 90.00, 90.00 and 120.00 degrees. The inequivalent atoms are Mg at (0.0000, 0.0000, 0.0000), Cd at (0.0000, 0.0000, 0.2499) and As at (0.0000, 0.0000, 0.5000).

=====

[4]
Entry from Alexandria: MgCdAs after structural relaxation (GGA-PBE).

The raw total energy is -2.422 eV per atom. For the offset from the most stable computed form, the calculation gives 0.111 eV/atom.

The space group is Fmm2 (No. 42) and the conventional cell measures 4.410, 4.749 and 12.255 Å, with angles of 90.00, 90.00 and 90.00 degrees. The inequivalent atoms are Mg at (0.000, 0.000, 0.000), Cd at (0.000, 0.000, 0.683) and As at (0.000, 0.000, 0.361).

=====

no.,energy of formation from the pure elements (eV/atom)
1,-0.068
2,-0.004
3,0.062
4,-0.036